Material: PaCd2BiO6
Method: DFT, PBE-GGA
State: optimized geometry

extended XYZ file:
```
10
Lattice="2.936 1.695 5.201 -2.936 1.695 5.201 0.000 -3.391 5.201" Properties=species:S:1:pos:R:3 pbc="T T T"
Pa 0.000 0.000 0.000
Cd 0.000 0.000 3.367
Cd 0.000 0.000 11.129
Bi 0.000 0.000 7.746
O -0.808 -1.910 6.624
O -1.827 -0.138 9.306
O -1.251 1.654 6.624
O 1.033 -1.513 9.306
O 2.058 0.256 6.624
O 0.794 1.651 9.306
```

Computed properties:
For the total magnetization, the calculation gives 0.0 μB per cell. The space group is R3. The crystal system is trigonal. Its uncorrected formation energy is -19.707 eV/f.u. The density of states at the Fermi level is 0.0 states/eV/cell.